A PBEsol-optimized structure of Tc2AsAu. Source: the Alexandria database, functional meta-GGA SCAN.

Cell lengths 3.8857, 3.8857, 4.8044 Å; angles 113.85, 113.85, 90.00 degrees
Sites, in units of the cell vectors:
As 0.5000 0.5000 0.0000
Au 0.2500 0.7500 0.5000
Tc 0.0000 0.0000 0.0000
Tc 0.7500 0.2500 0.5000

Summary:
- SG: I-4m2, No. 119
- Size of the total moment: 0.0 Bohr magnetons per cell
- Energy relative to the elements: 0.36 eV/atom